# Mn2ClO2, optimized geometry, DFT PBE+U
data_Mn2ClO2
_space_group_name_H-M_alt 'C 1 2/c 1'
_space_group_IT_number 15
_space_group_name_Hall '-C 2yc'
_cell_length_a 6.276
_cell_length_b 9.464
_cell_length_c 5.652
_cell_angle_alpha 90.00
_cell_angle_beta 121.66
_cell_angle_gamma 90.00
loop_
_atom_site_label
_atom_site_type_symbol
_atom_site_fract_x
_atom_site_fract_y
_atom_site_fract_z
Mn1 Mn 0.000 0.018 0.250
Mn2 Mn 0.000 0.319 0.750
Cl1 Cl 0.000 0.403 0.250
O1 O 0.093 0.133 0.024
# - VASP energy (eV/atom) = -6.754
# - total magnetization (μB/cell) = 36.000

---

# MnPCl2O, optimized geometry, DFT PBE+U
data_MnPCl2O
_space_group_name_H-M_alt 'P 4/m m m'
_space_group_IT_number 123
_space_group_name_Hall '-P 4 2'
_cell_length_a 4.724
_cell_length_b 4.724
_cell_length_c 5.256
_cell_angle_alpha 90.00
_cell_angle_beta 90.00
_cell_angle_gamma 90.00
loop_
_atom_site_label
_atom_site_type_symbol
_atom_site_fract_x
_atom_site_fract_y
_atom_site_fract_z
Mn1 Mn 0.000 0.000 0.000
P1 P 0.000 0.000 0.500
Cl1 Cl 0.000 0.500 0.000
O1 O 0.500 0.500 0.500
# - VASP energy (eV/atom) = -3.810
# - ΔE to the lowest computed polymorph (eV per formula unit) = 2.460
# - total magnetization (μB/cell) = 4.005

---

# MnPCl2O, optimized geometry, DFT PBE+U
data_MnPCl2O
_space_group_name_H-M_alt 'P 4/m m m'
_space_group_IT_number 123
_space_group_name_Hall '-P 4 2'
_cell_length_a 5.563
_cell_length_b 5.563
_cell_length_c 3.345
_cell_angle_alpha 90.00
_cell_angle_beta 90.00
_cell_angle_gamma 90.00
loop_
_atom_site_label
_atom_site_type_symbol
_atom_site_fract_x
_atom_site_fract_y
_atom_site_fract_z
Mn1 Mn 0.000 0.000 0.000
P1 P 0.500 0.500 0.000
Cl1 Cl 0.000 0.500 0.500
O1 O 0.500 0.500 0.500
# - VASP energy (eV/atom) = -4.302
# - ΔE to the lowest computed polymorph (eV per formula unit) = 0.000
# - total magnetization (μB/cell) = 5.013

---

# Mn5P3ClO12, optimized geometry, DFT PBE+U
data_Mn5P3ClO12
_space_group_name_H-M_alt 'P 63/m'
_space_group_IT_number 176
_space_group_name_Hall '-P 6c'
_cell_length_a 9.6909
_cell_length_b 9.6909
_cell_length_c 6.2608
_cell_angle_alpha 90.00
_cell_angle_beta 90.00
_cell_angle_gamma 120.00
loop_
_atom_site_label
_atom_site_type_symbol
_atom_site_fract_x
_atom_site_fract_y
_atom_site_fract_z
Mn1 Mn 0.0398 0.2803 0.2500
Mn2 Mn 0.3333 0.6667 0.5063
P1 P 0.0244 0.6176 0.2500
Cl1 Cl 0.0000 0.0000 0.2500
O1 O 0.0716 0.7289 0.0518
O2 O 0.1380 0.5437 0.2500
O3 O 0.1517 0.5150 0.7500
# - VASP energy (eV/atom) = -7.522
# - total magnetization (μB/cell) = 49.984